[1]
This record from Alexandria describes an optimized crystal structure of Li2CuPt. The functional is PBE.

Lattice parameters (Å, degrees): 2.6816 2.6816 9.0797 90.00 90.00 114.77
Last column: nearest neighbours and their distance in Å.
Positions (direct):
Li (0.0000, 0.0000, 0.0000)  2 Pt 2.54, 4 Li 2.68
Li (0.5000, 0.5000, 0.2932)  2 Cu 2.54, 4 Li 2.68
Cu (0.0000, 0.0000, 0.5238)  2 Li 2.54, 2 Pt 2.66, 4 Cu 2.68
Pt (0.5000, 0.5000, 0.7700)  2 Li 2.54, 2 Cu 2.66, 4 Pt 2.68

As for the space group: Cmm2. The formation energy comes out at -0.149 eV per atom. The value obtained for the distance to the lowest polymorph of the same formula is 232 meV/atom.

***

[2]
This record from Alexandria describes an optimized crystal structure of Ge3OsS. The functional is PBE.

Lattice parameters (Å, degrees): 4.7660 4.7660 4.7660 90.00 90.00 90.00
Last column: nearest neighbours and their distance in Å.
Positions (direct):
Ge (0.0000, 0.0000, 0.5000)  2 Os 2.38
Ge (0.0000, 0.5000, 0.0000)  2 Os 2.38
Ge (0.5000, 0.0000, 0.0000)  2 Os 2.38
Os (0.0000, 0.0000, 0.0000)  6 Ge 2.38
S (0.5000, 0.5000, 0.5000)  12 Ge 3.37

As for the space group: Pm-3m. The value obtained for the distance to the lowest polymorph of the same formula is 0 meV/atom. Its formation energy from raw total energies is 0.1704 eV/atom.

***

[3]
This record from Alexandria describes an optimized crystal structure of KLiPCl2. The functional is PBE.

Lattice parameters (Å, degrees): 5.8983 5.8983 5.9538 90.00 90.00 90.00
Last column: nearest neighbours and their distance in Å.
Positions (direct):
K (0.0000, 0.0000, 0.0000)  4 Cl 2.95, 2 P 2.98
Li (0.5000, 0.5000, 0.5000)  4 P 4.17, 8 Cl 4.19
P (0.0000, 0.0000, 0.5000)  2 K 2.98
Cl (0.0000, 0.5000, 0.0000)  2 K 2.95
Cl (0.5000, 0.0000, 0.0000)  2 K 2.95

As for the space group: P4/mmm. The value obtained for the distance to the lowest polymorph of the same formula is 488 meV/atom. Its formation energy from raw total energies is -0.1754 eV/atom.

***

[4]
This record from Alexandria describes an optimized crystal structure of Cd6PdAu2. The functional is PBE.

Lattice parameters (Å, degrees): 7.9791 7.9791 4.6431 106.05 106.05 48.40
Last column: nearest neighbours and their distance in Å.
Positions (direct):
Cd (0.0834, 0.5915, 0.3387)  1 Pd 2.77, 3 Au 2.86-2.87
Cd (0.2382, 0.7618, 0.0000)  2 Pd 2.80, 2 Au 2.88, 1 Cd 3.12
Cd (0.4085, 0.9166, 0.6613)  1 Pd 2.77, 3 Au 2.86-2.87
Cd (0.5915, 0.0834, 0.3387)  1 Pd 2.77, 3 Au 2.86-2.87
Cd (0.7618, 0.2382, 0.0000)  2 Pd 2.80, 2 Au 2.88, 1 Cd 3.12
Cd (0.9166, 0.4085, 0.6613)  1 Pd 2.77, 3 Au 2.86-2.87
Pd (0.0000, 0.0000, 0.5000)  8 Cd 2.77-2.80
Au (0.3335, 0.3335, 0.8348)  8 Cd 2.86-2.88
Au (0.6665, 0.6665, 0.1652)  8 Cd 2.86-2.88

As for the space group: C2/m. The formation energy comes out at -0.177 eV per atom. The value obtained for the distance to the lowest polymorph of the same formula is 0 meV/atom.

***

[5]
This record from Alexandria describes an optimized crystal structure of CaEuNiSe. The functional is PBE.

Lattice parameters (Å, degrees): 5.0617 5.0617 5.0617 60.00 60.00 60.00
Last column: nearest neighbours and their distance in Å.
Positions (direct):
Ca (0.0000, 0.0000, 0.0000)  4 Se 3.10, 4 Ni 3.10
Eu (0.5000, 0.5000, 0.5000)  4 Ni 3.10, 4 Se 3.10
Ni (0.7500, 0.7500, 0.7500)  4 Ca 3.10, 4 Eu 3.10
Se (0.2500, 0.2500, 0.2500)  4 Eu 3.10, 4 Ca 3.10

As for the space group: F-43m. Its formation energy from raw total energies is -0.7183 eV/atom.

***

[6]
This record from Alexandria describes an optimized crystal structure of KReMo. The functional is PBE.

Lattice parameters (Å, degrees): 8.5866 8.4140 2.7737 84.15 77.11 18.74
Last column: nearest neighbours and their distance in Å.
Positions (direct):
K (0.0000, 0.0000, 0.0000)  6 K 2.77-3.09
Re (0.6792, 0.6792, 0.3208)  2 Mo 2.62, 4 Re 2.77
Mo (0.3069, 0.3069, 0.6931)  2 Re 2.62, 4 Mo 2.77

As for the space group: Fmm2. The formation energy comes out at 0.967 eV per atom. The value obtained for the distance to the lowest polymorph of the same formula is 29 meV/atom.

***

[7]
This record from Alexandria describes an optimized crystal structure of MgIn6Ni6. The functional is PBE.

Lattice parameters (Å, degrees): 6.9165 6.9165 6.9165 134.99 100.21 96.65
Last column: nearest neighbours and their distance in Å.
Positions (direct):
Mg (0.0000, 0.0000, 0.0000)  8 In 2.84-3.10
In (0.1705, 0.6705, 0.5000)  6 Ni 2.68
In (0.3197, 0.0000, 0.3197)  6 Ni 2.72-2.73, 1 Mg 2.84
In (0.3368, 0.3368, 0.0000)  6 Ni 2.70-2.72, 1 In 3.00
In (0.6632, 0.6632, 0.0000)  6 Ni 2.70-2.72, 1 In 3.00
In (0.6803, 0.0000, 0.6803)  6 Ni 2.72-2.73, 1 Mg 2.84
In (0.8295, 0.3295, 0.5000)  6 Ni 2.68
Ni (0.0000, 0.0000, 0.5000)  4 Ni 2.65, 6 In 2.68-2.72
Ni (0.0000, 0.5000, 0.0000)  4 Ni 2.65, 6 In 2.68-2.72
Ni (0.2448, 0.5000, 0.7448)  4 Ni 2.65, 6 In 2.68-2.73
Ni (0.5000, 0.0000, 0.0000)  4 Ni 2.65, 6 In 2.68-2.72
Ni (0.5000, 0.5000, 0.5000)  4 Ni 2.65, 6 In 2.68-2.72
Ni (0.7552, 0.5000, 0.2552)  4 Ni 2.65, 6 In 2.68-2.73

As for the space group: Immm. The formation energy comes out at -0.132 eV per atom.